[1]
The following is a DFT calculation (PBE-GGA) of an optimized crystal structure of Ti2Cd2Bi.

Output
space-group type = No. 139
V = 23.05 Å³/atom
crystal system = tetragonal
offset from the most stable computed form = 0.239 eV per atom

Cell lengths 3.945, 3.945, 7.913 Å; angles 75.56, 75.56, 90.00 degrees
Fractional positions:
Ti 0.750 0.250 0.500
Ti 0.250 0.750 0.500
Bi 0.000 0.000 0.000
Cd 0.397 0.397 0.205
Cd 0.603 0.603 0.795

=====

[2]
The following is a DFT calculation (PBE-GGA) of an optimized crystal structure of TiCd2Bi.

Output
space-group type = No. 166
raw total energy = -2.93 eV per atom
V = 25.85 Å³/atom
crystal system = trigonal

Cell lengths 3.231, 3.231, 11.590 Å; angles 81.99, 81.99, 60.00 degrees
Site moments in Bohr magnetons follow the coordinates.
Fractional positions:
Ti 0.000 0.000 0.000  1.24
Bi 0.500 0.500 0.500  -0.02
Cd 0.083 0.083 0.751  0.01
Cd 0.917 0.917 0.249  0.01

=====

[3]
The following is a DFT calculation (PBE-GGA) of an optimized crystal structure of Tl3Cd2Bi3.

Output
space-group type = No. 62
raw total energy = -2.57 eV per atom
V = 32.42 Å³/atom
crystal system = orthorhombic

Cell lengths 6.301, 9.625, 17.108 Å; angles 90.00, 90.00, 90.00 degrees
Fractional positions:
Tl 0.122 0.455 0.375
Tl 0.622 0.045 0.625
Tl 0.878 0.545 0.875
Tl 0.378 0.955 0.125
Tl 0.878 0.545 0.625
Tl 0.378 0.955 0.375
Tl 0.122 0.455 0.125
Tl 0.622 0.045 0.875
Tl 0.592 0.298 0.250
Tl 0.092 0.202 0.750
Tl 0.408 0.702 0.750
Tl 0.908 0.798 0.250
Cd 0.867 0.057 0.390
Cd 0.367 0.443 0.610
Cd 0.133 0.943 0.890
Cd 0.633 0.557 0.110
Cd 0.133 0.943 0.610
Cd 0.633 0.557 0.390
Cd 0.867 0.057 0.110
Cd 0.367 0.443 0.890
Bi 0.093 0.169 0.250
Bi 0.593 0.331 0.750
Bi 0.907 0.831 0.750
Bi 0.407 0.669 0.250
Bi 0.600 0.280 0.472
Bi 0.100 0.220 0.528
Bi 0.400 0.720 0.972
Bi 0.900 0.780 0.028
Bi 0.400 0.720 0.528
Bi 0.900 0.780 0.472
Bi 0.600 0.280 0.028
Bi 0.100 0.220 0.972

=====

[4]
The following is a DFT calculation (PBE-GGA) of an optimized crystal structure of Tl3CdBi3.

Output
space-group type = No. 223
V = 45.23 Å³/atom
crystal system = cubic
offset from the most stable computed form = 0.301 eV per atom

Cell lengths 8.588, 8.588, 8.588 Å; angles 90.00, 90.00, 90.00 degrees
Fractional positions:
Tl 0.250 0.000 0.500
Tl 0.000 0.500 0.250
Tl 0.500 0.750 0.000
Tl 0.750 0.000 0.500
Tl 0.000 0.500 0.750
Tl 0.500 0.250 0.000
Bi 0.000 0.250 0.500
Bi 0.000 0.750 0.500
Bi 0.500 0.000 0.750
Bi 0.750 0.500 0.000
Bi 0.500 0.000 0.250
Bi 0.250 0.500 0.000
Cd 0.500 0.500 0.500
Cd 0.000 0.000 0.000